Sb2P3O12, PBEsol geometry, DFT meta-GGA SCAN; E_form (uncorrected) = -2.015 eV per atom
1.0
4.189 2.418 7.668
-4.189 2.418 7.668
0.000 -4.837 7.668
Sb P O
4 6 24
Cartesian
0.000 0.000 3.277
0.000 0.000 7.957
0.000 0.000 15.045
0.000 0.000 19.725
-1.717 -2.389 9.551
-2.927 0.293 13.452
-1.210 2.682 9.551
1.210 -2.682 13.452
2.927 -0.293 9.551
1.717 2.389 13.452
-2.395 -2.228 10.908
-3.110 -1.226 13.383
-0.493 -3.307 9.620
-1.510 0.616 6.836
-1.295 -0.961 9.092
0.222 -1.616 6.836
-3.127 0.960 12.094
-2.617 2.081 9.620
0.732 -3.188 12.094
-1.480 0.640 13.911
-1.288 -1.000 16.166
-0.185 1.602 9.092
0.185 -1.602 13.911
1.288 1.000 6.836
1.480 -0.640 9.092
-0.732 3.188 10.908
2.617 -2.081 13.383
3.127 -0.960 10.908
-0.222 1.616 16.166
1.295 0.961 13.911
1.510 -0.616 16.166
0.493 3.307 13.383
3.110 1.226 9.620
2.395 2.228 12.094

***

ZnFe2Co, PBEsol geometry, DFT meta-GGA SCAN; formation enthalpy at 0 K = -0.05 eV per atom
1.0
2.861 0.000 0.000
0.000 3.978 0.000
0.000 0.000 7.966
Zn Fe Co
2 4 2
Cartesian
0.000 0.000 0.000
1.431 1.989 0.000
0.000 0.000 3.962
0.000 1.989 5.898
1.431 0.000 5.898
1.431 1.989 3.962
0.000 1.989 2.050
1.431 0.000 2.050